A plane-wave DFT calculation with GGA+U was carried out for Li4Co7O2F14 after structural relaxation.

a = 5.5209 Å, b = 6.1396 Å, c = 10.7572 Å
α = 89.08°, β = 86.21°, γ = 66.30°
Last column: nearest neighbours and their distance in Å.
Atoms (fractional coordinates):
Li 0.1106 0.4062 0.2740  3 F 1.92-2.01
Li 0.2145 0.8491 0.7551  2 F 1.89-1.91, 1 O 1.94
Li 0.7855 0.1509 0.2449  2 F 1.89-1.91, 1 O 1.94
Li 0.8894 0.5938 0.7260  3 F 1.92-2.01
Co 0.0000 0.0000 0.0000  2 O 1.82
Co 0.4684 0.7593 0.2521  6 F 2.02-2.13
Co 0.5000 0.0000 0.0000  2 O 1.96, 2 F 2.09
Co 0.5000 0.0000 0.5000  6 F 2.03-2.10
Co 0.5000 0.5000 0.0000  2 O 2.00, 4 F 2.15-2.19
Co 0.5000 0.5000 0.5000  6 F 1.98-2.16
Co 0.5316 0.2407 0.7479  6 F 2.02-2.13
O 0.3234 0.8203 0.9242  3 Co 1.82-2.00, 1 Li 1.94
O 0.6766 0.1797 0.0758  3 Co 1.82-2.00, 1 Li 1.94
F 0.1874 0.0773 0.1778  2 Co 2.13-2.37, 2 Li 2.15-2.16
F 0.2592 0.5601 0.6734  2 Li 1.91-2.01, 1 Co 2.12
F 0.2646 0.5908 0.1776  1 Li 1.92, 1 Co 2.02
F 0.2851 0.8202 0.4288  3 Co 2.01-2.10
F 0.2977 0.3186 0.9091  3 Co 2.03-2.15
F 0.3030 0.3332 0.4255  1 Li 1.95, 2 Co 1.98-2.07
F 0.3142 0.0771 0.6731  1 Li 1.89, 2 Co 2.03-2.05
F 0.6858 0.9229 0.3269  1 Li 1.89, 2 Co 2.03-2.05
F 0.6970 0.6668 0.5745  1 Li 1.95, 2 Co 1.98-2.07
F 0.7023 0.6814 0.0909  3 Co 2.03-2.15
F 0.7149 0.1798 0.5712  3 Co 2.01-2.10
F 0.7354 0.4092 0.8224  1 Li 1.92, 1 Co 2.02
F 0.7408 0.4399 0.3266  2 Li 1.91-2.01, 1 Co 2.12
F 0.8126 0.9227 0.8222  2 Co 2.13-2.37, 2 Li 2.15-2.16

Properties
Magnetic moment = 18.95 μB per formula unit
Fermi-level density of states = 0.000 states/eV per cell
Mass density = 3680 kg/m3
Relative energy among the computed polymorphs = 70 meV/atom